Entry from the Alexandria database: a crystal of Cr3AgH relaxed with PBEsol (SCAN).

## Properties
Total energy in eV per atom: -17.552

Cell: 3.721 3.721 3.721 Å, 90.00 90.00 90.00°
Positions (direct):
Cr  0.000  0.000  0.500
Cr  0.000  0.500  0.000
Cr  0.500  0.000  0.000
Ag  0.500  0.500  0.500
H  0.000  0.000  0.000



Entry from the Alexandria database: a crystal of Cr2AgHPb relaxed with PBEsol (SCAN).

## Properties
Total energy in eV per atom: -28.091

Cell: 5.287 5.287 5.277 Å, 90.00 90.00 90.00°
Positions (direct):
Cr  0.000  0.500  0.000
Cr  0.500  0.000  0.000
Ag  0.000  0.000  0.500
H  0.500  0.500  0.500
Pb  0.000  0.000  0.000



Entry from the Alexandria database: a crystal of Hf3CrAg relaxed with PBEsol (SCAN).

## Properties
E_form in kJ/mol of formula units: 319

Cell: 4.724 4.724 4.724 Å, 90.00 90.00 90.00°
Positions (direct):
Hf  0.000  0.000  0.500
Hf  0.000  0.500  0.000
Hf  0.500  0.000  0.000
Cr  0.000  0.000  0.000
Ag  0.500  0.500  0.500



Listing V for the structures above in their given order: 10.3 29.5 21.1 A^3/atom.
Listing calculated density for the structures above in their given order: 8539 4729 10950 kg/m³.